ScTl3Ga: relaxed, GGA-PBE.

Cell: 5.357 5.357 5.357 Å, 90.00 90.00 90.00°
Sites, in units of the cell vectors:
Tl1 0.000 0.500 0.000
Sc1 0.500 0.500 0.500
Tl2 0.500 0.000 0.000
Tl3 0.000 0.000 0.500
Ga1 0.000 0.000 0.000

Results
- Symmetry: Pm-3m
- Formation energy from the elements: 2.16 eV/f.u.
- Energy relative to the lowest polymorph listed for this composition: 0 meV per atom



ScTlHg2: relaxed, GGA-PBE.

Cell: 4.501 7.876 4.583 Å, 54.18 90.17 125.24°
Sites, in units of the cell vectors:
Tl1 0.500 0.000 0.500
Sc1 0.500 0.500 0.000
Hg1 0.000 0.500 0.500
Hg2 0.000 0.000 0.000

Results
- Symmetry: C2/m
- Formation energy from the elements: -0.71 eV/f.u.



Mn2Nb2Sb: relaxed, GGA-PBE.

Cell: 3.265 3.265 8.221 Å, 78.55 78.55 90.00°
Sites, in units of the cell vectors:
Sb1 0.000 0.000 0.000
Nb1 0.617 0.617 0.766
Mn1 0.750 0.250 0.500
Nb2 0.383 0.383 0.234
Mn2 0.250 0.750 0.500

Results
- Uncorrected formation energy: 0.228 eV per atom
- Symmetry: I4/mmm
- Energy relative to the lowest polymorph listed for this composition: 118 meV per atom



BeTl2Pb: relaxed, GGA-PBE.

Cell: 6.467 6.467 6.467 Å, 149.33 130.34 59.51°
Sites, in units of the cell vectors:
Tl1 0.000 0.000 0.000
Tl2 0.694 0.194 0.500
Be1 0.499 0.499 0.000
Pb1 0.307 0.807 0.500

Results
- Symmetry: Imm2
- Formation energy from the elements: 1.69 eV/f.u.
- Energy relative to the lowest polymorph listed for this composition: 82 meV per atom